Density functional theory data (PBE) for crystalline SrCd6Rh6 at its relaxed geometry.

Values from the calculation:
As for the energy relative to the elements: -133.8 meV/atom. As for the space group: Immm (71). As for the raw total energy: -4.078 eV/atom.

Cell: 5.523 7.221 7.221 Å, 80.45 67.52 67.52°
Sites, in units of the cell vectors:
Rh  0.500  0.762  0.238
Rh  0.500  0.000  0.500
Rh  0.000  0.000  0.500
Rh  0.000  0.500  0.000
Rh  0.500  0.238  0.762
Rh  0.500  0.500  0.000
Cd  0.653  0.347  0.347
Cd  0.688  0.812  0.812
Cd  0.000  0.332  0.668
Cd  0.347  0.653  0.653
Cd  0.312  0.188  0.188
Cd  0.000  0.668  0.332
Sr  0.000  0.000  0.000